# Sr2LiY

Crystalline Sr2LiY at its relaxed geometry (PBE-GGA, Alexandria).

Energy of formation, eV/atom: 0.23
Electronic total energy, eV for the cell shown: -10.8
Volume, A^3/atom: 38.75
Space-group type: Immm, No. 71

Cell and atoms, written as POSCAR:
```
Sr2LiY
1.0
7.065 -0.017 -0.012
3.123 6.338 0.012
-4.337 -4.380 3.452
Li Sr Y
1 2 1
direct
0.250 0.750 0.500
0.030 0.030 0.000
0.470 0.470 0.000
0.750 0.250 0.500
```